No. 1
First-principles (GGA-PBE) data for a relaxed structure of InCuHg4, as listed in Alexandria.

Lattice parameters (Å, degrees): 6.039 6.039 6.039 60.00 60.00 60.00
Fractional positions:
In: 0.000 0.000 0.000
Cu: 0.750 0.750 0.750
Hg: 0.375 0.375 0.375
Hg: 0.375 0.375 0.874
Hg: 0.375 0.874 0.375
Hg: 0.874 0.375 0.375

## Properties
Its energy relative to the elements is 0.3546 eV/atom.

No. 2
First-principles (GGA-PBE) data for a relaxed structure of InCu2Hg, as listed in Alexandria.

Lattice parameters (Å, degrees): 5.147 5.147 5.147 134.02 134.02 67.05
Fractional positions:
In: 0.000 0.000 0.000
Cu: 0.250 0.750 0.500
Cu: 0.500 0.500 0.000
Hg: 0.750 0.250 0.500

## Properties
For the distance to the lowest polymorph of the same formula, the calculation gives 63.4 meV/atom. Its energy relative to the elements is 0.1939 eV/atom.

No. 3
First-principles (GGA-PBE) data for a relaxed structure of In2CuHg, as listed in Alexandria.

Lattice parameters (Å, degrees): 8.870 8.870 8.870 22.58 22.58 22.58
Fractional positions:
In: 0.239 0.239 0.239
In: 0.761 0.761 0.761
Cu: 0.500 0.500 0.500
Hg: 0.000 0.000 0.000

## Properties
Its energy relative to the elements is 0.0782 eV/atom.

No. 4
First-principles (GGA-PBE) data for a relaxed structure of InCu2Hg, as listed in Alexandria.

Lattice parameters (Å, degrees): 3.116 3.427 6.671 90.00 90.00 90.00
Fractional positions:
In: 0.000 0.000 0.000
Cu: 0.000 0.000 0.415
Cu: 0.500 0.500 0.249
Hg: 0.500 0.500 0.663

## Properties
For the distance to the lowest polymorph of the same formula, the calculation gives 7.5 meV/atom. Its energy relative to the elements is 0.1380 eV/atom.

Among the records above, which one has the lowest energy relative to the elements? In2CuHg